*i*
The following is a DFT calculation (PBE) of a relaxed CsAg3F crystal.

Calculated values
* magnetization: 0.00 μB/f.u.
* symmetry: Pm-3m, No. 221

Lattice parameters (Å, degrees): 5.0908 5.0908 5.0908 90.00 90.00 90.00
Positions (direct):
Cs  0.5000  0.5000  0.5000
F  0.0000  0.0000  0.0000
Ag  0.0000  0.0000  0.5000
Ag  0.5000  0.0000  0.0000
Ag  0.0000  0.5000  0.0000

---

*ii*
The following is a DFT calculation (PBE) of a relaxed CsAg3F crystal.

Calculated values
* magnetization: 1.05 μB/f.u.
* symmetry: Pm-3m, No. 221

Lattice parameters (Å, degrees): 6.4720 6.4720 6.4720 90.00 90.00 90.00
Positions (direct):
Ag  0.0000  0.5000  0.0000
Ag  0.0000  0.0000  0.5000
Ag  0.5000  0.0000  0.0000
F  0.5000  0.5000  0.5000
Cs  0.0000  0.0000  0.0000

---

Most stable to least stable, the ends of the list are *i* and *ii*.

---

*i*
The following is a DFT calculation (PBE) of a relaxed Cs3AgF6 crystal.

Calculated values
* magnetization: 2.00 μB/f.u.
* symmetry: P2_1/c, No. 14

Lattice parameters (Å, degrees): 6.9140 6.9408 9.7704 90.00 90.85 90.00
Positions (direct):
Cs  0.9909  0.4632  0.7522
Cs  0.5091  0.9632  0.7478
Cs  0.4909  0.0368  0.2522
Cs  0.5000  0.5000  0.0000
Cs  0.0091  0.5368  0.2478
Cs  0.0000  0.0000  0.5000
F  0.7454  0.6785  0.5399
F  0.7546  0.1785  0.9601
F  0.0790  0.0263  0.7904
F  0.2454  0.8215  0.0399
F  0.8286  0.7509  0.9529
F  0.9210  0.9737  0.2096
F  0.3286  0.7491  0.4529
F  0.4210  0.5263  0.7096
F  0.2546  0.3215  0.4601
F  0.1714  0.2491  0.0471
F  0.6714  0.2509  0.5471
F  0.5790  0.4737  0.2904
Ag  0.5000  0.5000  0.5000
Ag  0.0000  0.0000  0.0000

---

*ii*
The following is a DFT calculation (PBE) of a relaxed Cs3AgF6 crystal.

Calculated values
* magnetization: 2.00 μB/f.u.
* symmetry: Fm-3m, No. 225

Lattice parameters (Å, degrees): 6.9389 6.9389 6.9392 60.00 60.00 90.00
Positions (direct):
F  0.2835  0.2835  0.4329
F  0.2835  0.7165  0.0000
F  0.7165  0.2835  0.0000
F  0.7165  0.7165  0.0000
F  0.2835  0.2835  0.0000
F  0.7165  0.7165  0.5671
Cs  0.2500  0.7500  0.5000
Cs  0.0000  0.0000  0.0000
Cs  0.7500  0.2500  0.5000
Ag  0.5000  0.5000  0.0000

---

Most stable to least stable, the ends of the list are *i* and *ii*.

---

*i*
The following is a DFT calculation (PBE) of a relaxed Cs3Ag2F7 crystal.

Calculated values
* magnetization: 0.00 μB/f.u.
* symmetry: Cmmm, No. 65

Lattice parameters (Å, degrees): 4.4591 4.5989 12.3025 100.77 90.00 90.00
Positions (direct):
F  0.0000  0.1829  0.3658
F  0.0000  0.4085  0.8169
F  0.0000  0.0000  0.0000
F  0.0000  0.8171  0.6342
F  0.0000  0.5915  0.1831
F  0.5000  0.9085  0.8170
F  0.5000  0.0915  0.1830
Cs  0.5000  0.3209  0.6418
Cs  0.5000  0.5000  0.0000
Cs  0.5000  0.6791  0.3582
Ag  0.0000  0.0917  0.1833
Ag  0.0000  0.9083  0.8167

---

*ii*
The following is a DFT calculation (PBE) of a relaxed Cs3Ag2F7 crystal.

Calculated values
* magnetization: 0.00 μB/f.u.
* symmetry: I4/mmm, No. 139

Lattice parameters (Å, degrees): 4.5449 4.5449 12.2205 100.72 100.72 90.00
Positions (direct):
F  0.8122  0.8122  0.6244
F  0.0000  0.0000  0.0000
F  0.0934  0.5934  0.1869
F  0.9066  0.4066  0.8131
F  0.1878  0.1878  0.3756
F  0.5934  0.0934  0.1869
F  0.4066  0.9066  0.8131
Cs  0.6836  0.6836  0.3672
Cs  0.5000  0.5000  0.0000
Cs  0.3164  0.3164  0.6328
Ag  0.9062  0.9062  0.8124
Ag  0.0938  0.0938  0.1876

---

Most stable to least stable, the ends of the list are *ii* and *i*.

---

*i*
The following is a DFT calculation (PBE) of a relaxed CsAg2F crystal.

Calculated values
* magnetization: 0.00 μB/f.u.
* symmetry: R-3m, No. 166

Lattice parameters (Å, degrees): 3.5557 3.5557 9.9819 79.74 79.74 60.00
Positions (direct):
Cs  0.0000  0.0000  0.0000
Ag  0.8849  0.8849  0.3453
Ag  0.1151  0.1151  0.6547
F  0.5000  0.5000  0.5000

---

*ii*
The following is a DFT calculation (PBE) of a relaxed CsAg2F crystal.

Calculated values
* magnetization: 0.00 μB/f.u.
* symmetry: Fm-3m, No. 225

Lattice parameters (Å, degrees): 5.4241 5.4241 5.4241 60.00 60.00 60.00
Positions (direct):
Cs  0.5000  0.5000  0.5000
F  0.0000  0.0000  0.0000
Ag  0.7500  0.7500  0.7500
Ag  0.2500  0.2500  0.2500

---

Most stable to least stable, the ends of the list are *i* and *ii*.

---

*i*
The following is a DFT calculation (PBE) of a relaxed CsRb2AgF6 crystal.

Calculated values
* magnetization: 2.00 μB/f.u.
* symmetry: Fm-3m, No. 225

Lattice parameters (Å, degrees): 6.8712 6.8712 6.8718 60.00 60.00 90.00
Positions (direct):
F  0.7178  0.7178  0.5644
F  0.2822  0.2822  0.0000
F  0.2822  0.7178  0.0000
F  0.2822  0.2822  0.4356
F  0.7178  0.2822  0.0000
F  0.7178  0.7178  0.0000
Rb  0.7500  0.2500  0.5000
Rb  0.2500  0.7500  0.5000
Cs  0.0000  0.0000  0.0000
Ag  0.5000  0.5000  0.0000

---

*ii*
The following is a DFT calculation (PBE) of a relaxed CsRb2AgF6 crystal.

Calculated values
* magnetization: 2.00 μB/f.u.
* symmetry: P2_1/c, No. 14

Lattice parameters (Å, degrees): 6.6043 7.0243 9.4386 90.00 89.34 90.00
Positions (direct):
F  0.2644  0.6637  0.0372
F  0.8453  0.7449  0.9168
F  0.6547  0.2449  0.5832
F  0.6120  0.0743  0.2944
F  0.3453  0.7551  0.4168
F  0.1547  0.2551  0.0832
F  0.3880  0.9257  0.7056
F  0.2356  0.1637  0.4628
F  0.7644  0.8363  0.5372
F  0.1120  0.4257  0.7944
F  0.8880  0.5743  0.2056
F  0.7356  0.3363  0.9628
Ag  0.5000  0.0000  0.5000
Ag  0.0000  0.5000  0.0000
Rb  0.9852  0.0472  0.7400
Rb  0.4852  0.4528  0.2400
Rb  0.5148  0.5472  0.7600
Rb  0.0148  0.9528  0.2600
Cs  0.5000  0.0000  0.0000
Cs  0.0000  0.5000  0.5000

---

Most stable to least stable, the ends of the list are *ii* and *i*.

---

*i*
The following is a DFT calculation (PBE) of a relaxed Cs2Ga2Ag crystal.

Calculated values
* magnetization: 0.00 μB/f.u.
* symmetry: I4/mmm, No. 139

Lattice parameters (Å, degrees): 3.9998 3.9998 12.1069 80.49 80.49 90.00
Positions (direct):
Ga  0.7500  0.2500  0.5000
Ga  0.2500  0.7500  0.5000
Cs  0.3964  0.3964  0.2071
Cs  0.6036  0.6036  0.7929
Ag  0.0000  0.0000  0.0000

---

*ii*
The following is a DFT calculation (PBE) of a relaxed Cs2Ga2Ag crystal.

Calculated values
* magnetization: 0.00 μB/f.u.
* symmetry: P4/mbm, No. 127

Lattice parameters (Å, degrees): 7.4534 7.4534 6.2374 90.00 90.00 90.00
Positions (direct):
Ag  0.0000  0.0000  0.0000
Ag  0.5000  0.5000  0.0000
Cs  0.6936  0.8064  0.5000
Cs  0.8064  0.3064  0.5000
Cs  0.1936  0.6936  0.5000
Cs  0.3064  0.1936  0.5000
Ga  0.6210  0.1210  0.0000
Ga  0.3790  0.8790  0.0000
Ga  0.8790  0.6210  0.0000
Ga  0.1210  0.3790  0.0000

---

Most stable to least stable, the ends of the list are *i* and *ii*.

---

*i*
The following is a DFT calculation (PBE) of a relaxed CsGa2Ag2 crystal.

Calculated values
* magnetization: 0.00 μB/f.u.
* symmetry: P4/mbm, No. 127

Lattice parameters (Å, degrees): 8.7199 8.7199 3.2543 90.00 90.00 90.00
Positions (direct):
Ga  0.6139  0.1139  0.0000
Ga  0.8861  0.6139  0.0000
Ga  0.3861  0.8861  0.0000
Ga  0.1139  0.3861  0.0000
Ag  0.6622  0.8378  0.5000
Ag  0.3378  0.1622  0.5000
Ag  0.8378  0.3378  0.5000
Ag  0.1622  0.6622  0.5000
Cs  0.5000  0.5000  0.0000
Cs  0.0000  0.0000  0.0000

---

*ii*
The following is a DFT calculation (PBE) of a relaxed CsGa2Ag2 crystal.

Calculated values
* magnetization: 0.00 μB/f.u.
* symmetry: P4/mbm, No. 127

Lattice parameters (Å, degrees): 8.8824 8.8824 3.1890 90.00 90.00 90.00
Positions (direct):
Ga  0.1300  0.6300  0.5000
Ga  0.6300  0.8700  0.5000
Ga  0.8700  0.3700  0.5000
Ga  0.3700  0.1300  0.5000
Ag  0.3630  0.8630  0.0000
Ag  0.1370  0.3630  0.0000
Ag  0.8630  0.6370  0.0000
Ag  0.6370  0.1370  0.0000
Cs  0.0000  0.0000  0.0000
Cs  0.5000  0.5000  0.0000

---

*iii*
The following is a DFT calculation (PBE) of a relaxed CsGa2Ag2 crystal.

Calculated values
* magnetization: 0.00 μB/f.u.
* symmetry: I4/mmm, No. 139

Lattice parameters (Å, degrees): 6.5223 6.5223 6.5223 135.27 135.27 65.11
Positions (direct):
Ag  0.7500  0.2500  0.5000
Ag  0.2500  0.7500  0.5000
Cs  0.0000  0.0000  0.0000
Ga  0.3518  0.3518  0.0000
Ga  0.6482  0.6482  0.0000

---

Most stable to least stable, the ends of the list are *iii* and *ii*.

---

*i*
The following is a DFT calculation (PBE) of a relaxed CsGaAg2 crystal.

Calculated values
* magnetization: 0.00 μB/f.u.
* symmetry: R-3m, No. 166

Lattice parameters (Å, degrees): 4.7257 4.7257 7.2082 70.86 70.86 60.00
Positions (direct):
Ga  0.0000  0.0000  0.0000
Ag  0.3194  0.3194  0.0419
Ag  0.6806  0.6806  0.9581
Cs  0.5000  0.5000  0.5000

---

*ii*
The following is a DFT calculation (PBE) of a relaxed CsGaAg2 crystal.

Calculated values
* magnetization: 0.00 μB/f.u.
* symmetry: Cm, No. 8

Lattice parameters (Å, degrees): 4.7240 4.7560 7.1844 108.97 90.00 119.78
Positions (direct):
Ag  0.0696  0.1391  0.2066
Ag  0.7558  0.5116  0.2638
Ga  0.4296  0.8592  0.2865
Cs  0.2451  0.4901  0.7432

---

Most stable to least stable, the ends of the list are *i* and *ii*.